# Li2La2TbHg2

A geometry-optimized Li2La2TbHg2 structure (PBE, Alexandria).

Structure (POSCAR):
```
Li2La2TbHg2
1.0
2.4153 1.3945 8.9270
-2.4153 1.3945 8.9270
0.0000 -2.7889 8.9270
Li La Tb Hg
2 2 1 2
Direct
0.1107 0.1107 0.1107
0.8893 0.8893 0.8893
0.3714 0.3714 0.3714
0.6286 0.6286 0.6286
0.5000 0.5000 0.5000
0.2312 0.2312 0.2312
0.7688 0.7688 0.7688
```

D(E_F) (states/eV per cell): 7.37
Mass density (kg/m3): 7841
Calculated total energy (eV/atom): -2.938
Volume (Å³/f.u.): 180.40
Symmetry: R-3m, No. 166
Formation energy (kJ per mole of atoms): -23

=====

# SmCd5Au3

A geometry-optimized SmCd5Au3 structure (PBE, Alexandria).

Structure (POSCAR):
```
SmCd5Au3
1.0
1.7948 -7.5764 0.0000
1.7948 7.5764 0.0000
0.0000 0.0000 15.1000
Sm Cd Au
2 10 6
Direct
0.1656 0.8344 0.7500
0.8344 0.1656 0.2500
0.0000 0.0000 0.0000
0.0000 0.0000 0.5000
0.1906 0.8094 0.0620
0.1906 0.8094 0.4380
0.4545 0.5455 0.6557
0.4545 0.5455 0.8443
0.5455 0.4545 0.1557
0.5455 0.4545 0.3443
0.8094 0.1906 0.5620
0.8094 0.1906 0.9380
0.1701 0.8299 0.2500
0.3724 0.6276 0.0886
0.3724 0.6276 0.4114
0.6276 0.3724 0.5886
0.6276 0.3724 0.9114
0.8299 0.1701 0.7500
```

D(E_F) (states/eV per cell): 5.15
Mass density (kg/m3): 10540
Calculated total energy (eV/atom): -2.412
Volume (Å³/f.u.): 205.33
Symmetry: Cmcm, No. 63
Formation energy (kJ per mole of atoms): -28

=====

# LiSbS2N

A geometry-optimized LiSbS2N structure (PBE, Alexandria).

Structure (POSCAR):
```
LiSbS2N
1.0
4.7159 0.0000 0.0000
0.0000 4.7159 0.0000
0.0000 0.0000 3.8157
Li Sb S N
1 1 2 1
Direct
0.0000 0.0000 0.0000
0.5000 0.5000 0.5000
0.0000 0.5000 0.0000
0.5000 0.0000 0.0000
0.0000 0.0000 0.5000
```

D(E_F) (states/eV per cell): 2.88
Uncorrected formation energy (meV per atom): 777
Mass density (kg/m3): 4047
Energy above the most stable polymorph in this dataset (meV/atom): 329
Calculated total energy (eV/atom): -3.747
Volume (Å³/f.u.): 84.86
Symmetry: P4/mmm, No. 123

=====

- Look up the D(E_F) of the third one.
  2.88 states/eV per cell

=====

- Which value of calculated total energy does entry 3 give?
  -3.747 eV/atom

=====

- Which of these has the highest D(E_F)?
  Li2La2TbHg2